A geometry-optimized CeTlInCl6 structure. Source: Alexandria via LeMat-Bulk, functional GGA-PBE.

Cell: 7.007 7.007 13.512 Å, 90.00 90.00 90.00°
Fractional coordinates of all 18 atoms:
Cl  0.733  0.733  0.329
Cl  0.178  0.822  0.481
Cl  0.313  0.313  0.692
Cl  0.687  0.687  0.692
Cl  0.678  0.678  0.981
Cl  0.813  0.187  0.192
Cl  0.187  0.813  0.192
Cl  0.322  0.322  0.981
Cl  0.822  0.178  0.481
Cl  0.267  0.267  0.329
Cl  0.767  0.233  0.829
Cl  0.233  0.767  0.829
In  0.500  0.500  0.166
In  0.000  0.000  0.666
Tl  0.000  0.000  0.998
Tl  0.500  0.500  0.498
Ce  0.500  0.500  0.833
Ce  0.000  0.000  0.333

Summary:
As for the total energy: -3.989 eV/atom. As for the space-group type: P4_2nm. The uncorrected formation energy is -1.532 eV per atom.